1.
VASP calculation (GGA-PBE) on an optimized crystal structure of BaTlPd2C.

Cell lengths 5.439, 7.384, 5.439 Å; angles 90.00, 90.00, 90.00 degrees
Site moments in Bohr magnetons follow the coordinates.
Positions (direct):
C (0.500, 0.500, 0.500)  1.06
Tl (0.000, 0.500, 0.000)  0.07
Ba (0.000, 0.000, 0.000)  0.02
Pd (0.000, 0.000, 0.500)  0.02
Pd (0.500, 0.000, 0.000)  0.03

Results
DFT formation energy (eV per formula unit): 10.4
N(E_F) (states/eV per cell): 1.7
DFT total energy (eV per atom): -2.7088
Volume (Å³ per cell): 218
Magnetic moment (μB/atom): 0.57



2.
VASP calculation (GGA-PBE) on an optimized crystal structure of Ac6Ge2C.

Cell lengths 6.974, 8.549, 10.286 Å; angles 90.00, 88.41, 90.00 degrees
Positions (direct):
Ac (0.125, 0.034, 0.251)
Ac (0.138, 0.295, 0.555)
Ac (0.169, 0.340, 0.942)
Ac (0.331, 0.840, 0.558)
Ac (0.362, 0.795, 0.945)
Ac (0.375, 0.534, 0.249)
Ac (0.875, 0.966, 0.749)
Ac (0.862, 0.705, 0.445)
Ac (0.831, 0.660, 0.058)
Ac (0.669, 0.160, 0.442)
Ac (0.638, 0.205, 0.055)
Ac (0.625, 0.466, 0.751)
Ge (0.065, 0.617, 0.744)
Ge (0.435, 0.117, 0.756)
Ge (0.565, 0.883, 0.244)
Ge (0.935, 0.383, 0.256)
C (0.500, 0.500, 0.000)
C (0.000, 0.000, 0.500)

Results
DFT formation energy (eV per formula unit): -2.9
N(E_F) (states/eV per cell): 17.1
DFT total energy (eV per atom): -5.1118
Volume (Å³ per cell): 613
Offset from the most stable computed form (meV/atom): 0
Magnetic moment (μB/atom): 0.00



3.
VASP calculation (GGA-PBE) on an optimized crystal structure of Sc3Pa.

Cell lengths 3.165, 5.333, 5.759 Å; angles 90.00, 90.00, 90.00 degrees
Positions (direct):
Sc (0.500, 0.000, 0.526)
Sc (0.500, 0.500, 0.816)
Sc (0.000, 0.500, 0.311)
Pa (0.000, 0.000, 0.015)

Results
DFT formation energy (eV per formula unit): 0.5
N(E_F) (states/eV per cell): 9.0
DFT total energy (eV per atom): -6.9962
Volume (Å³ per cell): 97
Offset from the most stable computed form (meV/atom): 102
Magnetic moment (μB/atom): 0.00



4.
VASP calculation (GGA-PBE) on an optimized crystal structure of HfAg2Bi.

Cell lengths 3.190, 3.190, 8.778 Å; angles 90.00, 90.00, 90.00 degrees
Positions (direct):
Hf (0.500, 0.500, 0.000)
Bi (0.500, 0.500, 0.500)
Ag (0.000, 0.000, 0.775)
Ag (0.000, 0.000, 0.225)

Results
DFT formation energy (eV per formula unit): 0.4
N(E_F) (states/eV per cell): 3.0
DFT total energy (eV per atom): -4.7946
Volume (Å³ per cell): 89
Magnetic moment (μB/atom): 0.01



5.
VASP calculation (GGA-PBE) on an optimized crystal structure of PmNd6Er4.

Cell lengths 9.971, 9.971, 9.971 Å; angles 55.57, 141.51, 141.51 degrees
Positions (direct):
Pm (0.000, 0.000, 0.000)
Nd (0.000, 0.817, 0.459)
Nd (0.000, 0.459, 0.817)
Nd (0.357, 0.541, 0.541)
Nd (0.500, 0.500, 0.000)
Nd (0.643, 0.183, 0.183)
Nd (0.500, 0.000, 0.500)
Er (0.000, 0.642, 0.011)
Er (0.369, 0.358, 0.358)
Er (0.000, 0.011, 0.642)
Er (0.631, 0.989, 0.989)

Results
DFT formation energy (eV per formula unit): 3.2
N(E_F) (states/eV per cell): 16.7
DFT total energy (eV per atom): -4.4003
Volume (Å³ per cell): 381
Offset from the most stable computed form (meV/atom): 142
Magnetic moment (μB/atom): 0.00



6.
VASP calculation (GGA-PBE) on an optimized crystal structure of Pr2MgZnAu6.

Cell lengths 9.158, 5.469, 7.079 Å; angles 67.06, 48.78, 89.65 degrees
Positions (direct):
Pr (0.262, 0.740, 0.518)
Pr (0.738, 0.260, 0.482)
Mg (0.500, 0.500, 0.000)
Zn (0.000, 0.000, 0.000)
Au (0.281, 0.783, 0.938)
Au (0.722, 0.722, 0.057)
Au (0.094, 0.248, 0.505)
Au (0.719, 0.217, 0.062)
Au (0.278, 0.278, 0.943)
Au (0.906, 0.752, 0.495)

Results
DFT formation energy (eV per formula unit): -4.8
N(E_F) (states/eV per cell): 5.0
DFT total energy (eV per atom): -3.6907
Volume (Å³ per cell): 229
Magnetic moment (μB/atom): 0.00



7.
VASP calculation (GGA-PBE) on an optimized crystal structure of PuMg2ZnGe2.

Cell lengths 4.274, 6.989, 8.227 Å; angles 90.00, 90.00, 90.00 degrees
Site moments in Bohr magnetons follow the coordinates.
Positions (direct):
Pu (0.000, 0.988, 0.446)  5.32
Pu (0.000, 0.488, 0.554)  5.32
Mg (0.500, 0.026, 0.089)  0.00
Mg (0.000, 0.358, 0.168)  0.00
Mg (0.500, 0.526, 0.911)  0.00
Mg (0.000, 0.858, 0.832)  0.00
Zn (0.500, 0.152, 0.695)  0.00
Zn (0.500, 0.652, 0.305)  0.00
Ge (0.000, 0.251, 0.853)  -0.05
Ge (0.500, 0.270, 0.366)  -0.07
Ge (0.000, 0.751, 0.147)  -0.05
Ge (0.500, 0.770, 0.634)  -0.07

Results
DFT formation energy (eV per formula unit): -1.7
N(E_F) (states/eV per cell): 18.0
DFT total energy (eV per atom): -4.9546
Volume (Å³ per cell): 246
Magnetic moment (μB/atom): 0.92



8.
VASP calculation (GGA-PBE) on an optimized crystal structure of HfTe3P.

Cell lengths 5.135, 5.135, 5.135 Å; angles 90.00, 90.00, 90.00 degrees
Positions (direct):
P (0.000, 0.000, 0.000)
Te (0.000, 0.500, 0.000)
Te (0.000, 0.000, 0.500)
Te (0.500, 0.000, 0.000)
Hf (0.500, 0.500, 0.500)

Results
N(E_F) (states/eV per cell): 5.0
DFT total energy (eV per atom): -4.4426
Volume (Å³ per cell): 135
Offset from the most stable computed form (meV/atom): 79
Magnetic moment (μB/atom): 0.00



9.
VASP calculation (GGA-PBE) on an optimized crystal structure of LaBeTcOs2.

Cell lengths 4.747, 4.485, 4.747 Å; angles 90.00, 90.00, 90.00 degrees
Positions (direct):
Be (0.000, 0.500, 0.000)
Os (0.000, 0.000, 0.500)
Os (0.500, 0.000, 0.000)
Tc (0.500, 0.500, 0.500)
La (0.000, 0.000, 0.000)

Results
DFT formation energy (eV per formula unit): 14.2
N(E_F) (states/eV per cell): 9.2
DFT total energy (eV per atom): -5.4479
Volume (Å³ per cell): 101
Magnetic moment (μB/atom): 0.00



10.
VASP calculation (GGA-PBE) on an optimized crystal structure of LaHo10Th4.

Cell lengths 11.085, 8.740, 8.740 Å; angles 66.28, 50.64, 50.64 degrees
Positions (direct):
La (0.000, 0.000, 0.000)
Ho (0.250, 0.500, 0.500)
Ho (0.709, 0.345, 0.903)
Ho (0.946, 0.097, 0.345)
Ho (0.388, 0.903, 0.655)
Ho (0.957, 0.655, 0.097)
Ho (0.291, 0.655, 0.097)
Ho (0.750, 0.500, 0.500)
Ho (0.043, 0.345, 0.903)
Ho (0.612, 0.097, 0.345)
Ho (0.054, 0.903, 0.655)
Th (0.547, 0.654, 0.252)
Th (0.799, 0.748, 0.654)
Th (0.201, 0.252, 0.346)
Th (0.453, 0.346, 0.748)

Results
DFT formation energy (eV per formula unit): 7.7
N(E_F) (states/eV per cell): 21.7
DFT total energy (eV per atom): -4.8444
Volume (Å³ per cell): 506
Magnetic moment (μB/atom): 0.00



11.
VASP calculation (GGA-PBE) on an optimized crystal structure of Sc2HgGe.

Cell lengths 9.055, 9.055, 9.055 Å; angles 24.87, 24.87, 24.87 degrees
Positions (direct):
Sc (0.886, 0.886, 0.886)
Sc (0.114, 0.114, 0.114)
Ge (0.500, 0.500, 0.500)
Hg (0.000, 0.000, 0.000)

Results
DFT formation energy (eV per formula unit): -0.6
N(E_F) (states/eV per cell): 6.0
DFT total energy (eV per atom): -4.5384
Volume (Å³ per cell): 116
Magnetic moment (μB/atom): 0.00



12.
VASP calculation (GGA-PBE) on an optimized crystal structure of MgOs2PbI.

Cell lengths 4.926, 4.926, 5.180 Å; angles 90.00, 90.00, 90.00 degrees
Positions (direct):
Pb (0.500, 0.500, 0.500)
I (0.000, 0.000, 0.000)
Mg (0.000, 0.000, 0.500)
Os (0.000, 0.500, 0.000)
Os (0.500, 0.000, 0.000)

Results
N(E_F) (states/eV per cell): 4.9
DFT total energy (eV per atom): -3.9899
Volume (Å³ per cell): 126
Magnetic moment (μB/atom): 0.00